Here is TlSbTe2S after structural relaxation from the Alexandria database. Energies are from GGA-PBE.

Summary:
Energy above the most stable polymorph in this dataset   0 meV per atom
Raw formation energy   0.2731 eV per atom

Cell lengths 5.403, 5.403, 5.311 Å; angles 90.00, 90.00, 90.00 degrees
Positions (direct):
Sb 0.000 0.000 0.500
Tl 0.500 0.500 0.500
Te 0.000 0.500 0.000
Te 0.500 0.000 0.000
S 0.000 0.000 0.000